No. 1
Sm2Ho7Sc2 | PBE | optimized geometry

Output
As for the space-group type: C2/m. Its calculated volume is 30.94 Å³ per atom. The formation energy is 0.20 eV/atom. For the density of states at the Fermi level, the calculation gives 16.50 states/eV per cell.

Cell: 7.920 7.920 5.893 Å, 105.82 105.82 91.29°
Fractional coordinates of all 11 atoms:
Sm  0.218  0.782  0.000
Sm  0.782  0.218  0.000
Ho  0.000  0.000  0.500
Ho  0.056  0.594  0.331
Ho  0.241  0.241  0.098
Ho  0.406  0.944  0.669
Ho  0.594  0.056  0.331
Ho  0.759  0.759  0.902
Ho  0.944  0.406  0.669
Sc  0.414  0.414  0.702
Sc  0.586  0.586  0.298

No. 2
K2SbH5O6 | PBE | optimized geometry

Output
As for the space-group type: P-1. Its calculated volume is 11.36 Å³ per atom. The calculation puts the final energy at -5.13 eV/atom. For the density of states at the Fermi level, the calculation gives 0.00 states/eV per cell.

Cell: 5.341 6.736 9.161 Å, 84.04 76.46 85.15°
Fractional coordinates of all 28 atoms:
K  0.176  0.228  0.423
K  0.269  0.688  0.932
K  0.731  0.312  0.068
K  0.824  0.772  0.577
Sb  0.470  0.234  0.727
Sb  0.530  0.766  0.273
H  0.116  0.962  0.219
H  0.129  0.577  0.266
H  0.291  0.562  0.595
H  0.294  0.146  0.009
H  0.296  0.941  0.622
H  0.704  0.059  0.378
H  0.706  0.854  0.991
H  0.709  0.438  0.405
H  0.871  0.423  0.734
H  0.884  0.038  0.781
O  0.211  0.453  0.672
O  0.229  0.017  0.714
O  0.251  0.258  0.937
O  0.304  0.983  0.180
O  0.319  0.551  0.229
O  0.342  0.786  0.481
O  0.658  0.214  0.519
O  0.681  0.449  0.771
O  0.696  0.017  0.820
O  0.749  0.742  0.063
O  0.771  0.983  0.286
O  0.789  0.547  0.328